[1]
Material: Ti4MnFe
Method: DFT, PBE
State: optimized geometry

- Energy of formation: 0.12 eV per atom
- DOS(E_F): 6.70 states/eV per cell

Cell lengths 4.406, 4.406, 6.353 Å; angles 110.36, 110.36, 60.10 degrees
Sites, in units of the cell vectors:
Ti: 0.125 0.125 0.374
Ti: 0.375 0.375 0.125
Ti: 0.625 0.625 0.875
Ti: 0.875 0.875 0.626
Mn: 0.500 0.500 0.500
Fe: 0.000 0.000 0.000

=====

[2]
Material: Ba2Ga2Si
Method: DFT, PBE
State: optimized geometry

- DOS(E_F): 6.86 states/eV per cell
- ΔE_f (raw): -0.326 eV/atom

Cell lengths 6.798, 6.798, 7.964 Å; angles 101.22, 101.22, 56.59 degrees
Sites, in units of the cell vectors:
Ba: 0.042 0.258 0.158
Ba: 0.258 0.042 0.658
Ba: 0.742 0.958 0.342
Ba: 0.958 0.742 0.842
Ga: 0.283 0.505 0.504
Ga: 0.495 0.717 0.996
Ga: 0.505 0.283 0.004
Ga: 0.717 0.495 0.496
Si: 0.377 0.623 0.250
Si: 0.623 0.377 0.750

=====

[3]
Material: MgAgBr4
Method: DFT, PBE
State: optimized geometry

- DOS(E_F): 6.38 states/eV per cell
- ΔE_f (raw): 0.426 eV/atom

Cell lengths 6.354, 6.354, 6.354 Å; angles 60.00, 60.00, 60.00 degrees
Sites, in units of the cell vectors:
Mg: 0.000 0.000 0.000
Ag: 0.750 0.750 0.750
Br: 0.374 0.374 0.374
Br: 0.374 0.374 0.877
Br: 0.374 0.877 0.374
Br: 0.877 0.374 0.374

=====

Results for E above lowest polymorph: 300, 0, 1245 (in meV/atom, following the order of the records).
Results for calculated volume: 16.3, 30.0, 30.2 (in Å³/atom, following the order of the records).
Results for total DFT energy (no corrections): -48.5, -17.0, -8.6 (in eV/f.u., following the order of the records).